AlRe2Ni: optimized geometry, PBE.

## Properties
space group = Pmmm
E_form = 0.3 eV per formula unit
total DFT energy (no corrections) = -8.538 eV/atom

Lattice parameters (Å, degrees): 2.7055 4.0239 5.1247 90.00 90.00 90.00
Last column: nearest neighbours and their distance in Å.
Fractional positions:
1 Re 0.0000 0.0000 0.0008  4 Re 2.55-2.71, 4 Al 2.74, 4 Ni 2.74
2 Re 0.0000 0.0000 0.4992  4 Re 2.55-2.71, 4 Al 2.74, 4 Ni 2.74
3 Al 0.5000 0.5000 0.2500  2 Ni 2.56, 2 Al 2.71, 8 Re 2.74
4 Ni 0.5000 0.5000 0.7500  2 Al 2.56, 2 Ni 2.71, 8 Re 2.74